# RbUTe3

A relaxed RbUTe3 crystal (PBE, Alexandria via LeMat-Bulk).

abc: 5.912 5.912 5.912
angles: 90.00 90.00 90.00
Last column: magnetic moment on the atom in μB.
Positions (direct):
Te (0.000, 0.500, 0.000)  -0.11
Te (0.000, 0.000, 0.500)  -0.11
Te (0.500, 0.000, 0.000)  -0.11
U (0.000, 0.000, 0.000)  1.55
Rb (0.500, 0.500, 0.500)  0.00

magnetic moment	1.1	μB per cell
final energy	-5.08	eV per atom
uncorrected formation energy	-0.743	eV/atom